Entry from Alexandria: an optimized crystal structure of HRhSeN2 (PBE-GGA).

Unit cell a=3.8427 b=3.8427 c=3.3181 alpha=90.00 beta=90.00 gamma=90.00
Last column: nearest neighbours and their distance in Å.
Space group P4/mmm (No. 123)
One atom of each set of equivalent atoms:
H: 0.0000 0.0000 0.0000 x1  2 Se 1.66
Rh: 0.5000 0.5000 0.5000 x1  8 N 2.54, 4 Se 2.72
Se: 0.0000 0.0000 0.5000 x1  2 H 1.66
N: 0.0000 0.5000 0.0000 x2  2 H 1.92

## Properties
Its size of the total moment is 0.00 Bohr magnetons per cell. The volume comes out at 49.0 Å³ per cell. For the total energy, the calculation gives -21.51 eV/f.u.

=====

Entry from Alexandria: an optimized crystal structure of VBMo3 (PBE-GGA).

Unit cell a=4.4541 b=4.4541 c=4.4541 alpha=90.00 beta=90.00 gamma=90.00
Last column: nearest neighbours and their distance in Å.
Space group Pm-3m (No. 221)
One atom of each set of equivalent atoms:
V: 0.0000 0.0000 0.0000 x1  6 Mo 2.23
B: 0.5000 0.5000 0.5000 x1  12 Mo 3.15
Mo: 0.0000 0.0000 0.5000 x3  2 V 2.23

## Properties
Its size of the total moment is 0.00 Bohr magnetons per cell. The energy of formation from the pure elements is 2.08 eV/atom. The volume comes out at 88.4 Å³ per cell.

=====

Entry from Alexandria: an optimized crystal structure of PmGeP (PBE-GGA).

Unit cell a=4.3501 b=4.3501 c=3.9460 alpha=90.00 beta=90.00 gamma=120.00
Last column: nearest neighbours and their distance in Å.
Space group P-6m2 (No. 187)
One atom of each set of equivalent atoms:
Pm: 0.0000 0.0000 0.0000 x1  6 Ge 3.19, 6 P 3.19
Ge: 0.6667 0.3333 0.5000 x1  3 P 2.51
P: 0.3333 0.6667 0.5000 x1  3 Ge 2.51

## Properties
Its size of the total moment is 0.00 Bohr magnetons per cell. The energy of formation from the pure elements is -0.67 eV/atom. The volume comes out at 64.7 Å³ per cell.

=====

What is the size of the total moment in the second record? 0.00 Bohr magnetons per cell